Tb2TlHg4 | Alexandria | PBE | optimized geometry; calculated volume = 25.7 Å³ per atom; total magnetic moment = 0.0000 μB per atom; space-group type = No. 166; relative energy among the computed polymorphs = 0.000 eV/atom; energy = -2.112 eV/atom; formation enthalpy at 0 K = -279 meV per atom
1.0
2.633 1.520 7.500
-2.633 1.520 7.500
0.000 -3.040 7.500
Tb Tl Hg
2 1 4
Direct
0.222 0.222 0.222
0.778 0.778 0.778
0.500 0.500 0.500
0.076 0.076 0.076
0.360 0.360 0.360
0.640 0.640 0.640
0.924 0.924 0.924